First-principles (PBE) data for a relaxed Tb2DyS crystal, as listed in the Alexandria database.

## Properties
Raw total energy, eV/atom: -5.22
Space group: No. 166

Geometry as CIF:
```
data_Tb2DyS
_chemical_formula_sum 'Tb2 Dy1 S1'
_cell_length_a 3.671
_cell_length_b 3.671
_cell_length_c 10.271
_cell_angle_alpha 79.71
_cell_angle_beta 79.71
_cell_angle_gamma 60.00
_symmetry_space_group_name_H-M 'P 1'
_symmetry_Int_Tables_number 1
loop_
_symmetry_equiv_pos_as_xyz
'x,y,z'
loop_
_atom_site_label
_atom_site_type_symbol
_atom_site_fract_x
_atom_site_fract_y
_atom_site_fract_z
Tb1 Tb 0.888 0.888 0.336
Tb2 Tb 0.112 0.112 0.664
S1 S 0.500 0.500 0.500
Dy1 Dy 0.000 0.000 0.000
```

---

First-principles (PBE) data for a relaxed LiMnCu crystal, as listed in the Alexandria database.

## Properties
Raw total energy, eV/atom: -4.86
Space group: No. 44
Calculated formation energy, eV per atom: 0.1988

Geometry as CIF:
```
data_LiMnCu
_chemical_formula_sum 'Li1 Mn1 Cu1'
_cell_length_a 4.663
_cell_length_b 4.663
_cell_length_c 4.663
_cell_angle_alpha 145.39
_cell_angle_beta 134.92
_cell_angle_gamma 58.06
_symmetry_space_group_name_H-M 'P 1'
_symmetry_Int_Tables_number 1
loop_
_symmetry_equiv_pos_as_xyz
'x,y,z'
loop_
_atom_site_label
_atom_site_type_symbol
_atom_site_fract_x
_atom_site_fract_y
_atom_site_fract_z
Li1 Li 0.339 0.339 0.000
Cu1 Cu 0.002 0.002 0.000
Mn1 Mn 0.658 0.658 0.000
```

---

First-principles (PBE) data for a relaxed UCdIn crystal, as listed in the Alexandria database.

## Properties
Raw total energy, eV/atom: -4.83
Space group: No. 156
Calculated formation energy, eV per atom: 0.1461

Geometry as CIF:
```
data_UCdIn
_chemical_formula_sum 'U1 Cd1 In1'
_cell_length_a 3.080
_cell_length_b 3.080
_cell_length_c 8.445
_cell_angle_alpha 90.00
_cell_angle_beta 90.00
_cell_angle_gamma 120.00
_symmetry_space_group_name_H-M 'P 1'
_symmetry_Int_Tables_number 1
loop_
_symmetry_equiv_pos_as_xyz
'x,y,z'
loop_
_atom_site_label
_atom_site_type_symbol
_atom_site_fract_x
_atom_site_fract_y
_atom_site_fract_z
Cd1 Cd 0.667 0.333 0.337
U1 U 0.000 0.000 0.000
In1 In 0.333 0.667 0.663
```

---

First-principles (PBE) data for a relaxed CaSm2Tl crystal, as listed in the Alexandria database.

## Properties
Raw total energy, eV/atom: -3.62
Space group: No. 123
Calculated formation energy, eV per atom: -0.1675

Geometry as CIF:
```
data_CaSm2Tl
_chemical_formula_sum 'Ca1 Sm2 Tl1'
_cell_length_a 4.931
_cell_length_b 4.998
_cell_length_c 4.998
_cell_angle_alpha 90.00
_cell_angle_beta 90.00
_cell_angle_gamma 90.00
_symmetry_space_group_name_H-M 'P 1'
_symmetry_Int_Tables_number 1
loop_
_symmetry_equiv_pos_as_xyz
'x,y,z'
loop_
_atom_site_label
_atom_site_type_symbol
_atom_site_fract_x
_atom_site_fract_y
_atom_site_fract_z
Sm1 Sm 0.000 0.000 0.500
Sm2 Sm 0.000 0.500 0.000
Tl1 Tl 0.500 0.500 0.500
Ca1 Ca 0.500 0.000 0.000
```

---

First-principles (PBE) data for a relaxed Mn2Tc crystal, as listed in the Alexandria database.

## Properties
Raw total energy, eV/atom: -8.82
Space group: No. 123
Calculated formation energy, eV per atom: 0.7483

Geometry as CIF:
```
data_Mn2Tc
_chemical_formula_sum 'Mn2 Tc1'
_cell_length_a 4.307
_cell_length_b 4.307
_cell_length_c 2.761
_cell_angle_alpha 90.00
_cell_angle_beta 90.00
_cell_angle_gamma 90.00
_symmetry_space_group_name_H-M 'P 1'
_symmetry_Int_Tables_number 1
loop_
_symmetry_equiv_pos_as_xyz
'x,y,z'
loop_
_atom_site_label
_atom_site_type_symbol
_atom_site_fract_x
_atom_site_fract_y
_atom_site_fract_z
Mn1 Mn 0.000 0.500 0.500
Mn2 Mn 0.500 0.000 0.500
Tc1 Tc 0.000 0.000 0.000
```

---

First-principles (PBE) data for a relaxed RbLaMg2S crystal, as listed in the Alexandria database.

## Properties
Raw total energy, eV/atom: -2.74
Space group: No. 123

Geometry as CIF:
```
data_RbLaMg2S
_chemical_formula_sum 'Rb1 La1 Mg2 S1'
_cell_length_a 6.583
_cell_length_b 5.432
_cell_length_c 6.583
_cell_angle_alpha 90.00
_cell_angle_beta 90.00
_cell_angle_gamma 90.00
_symmetry_space_group_name_H-M 'P 1'
_symmetry_Int_Tables_number 1
loop_
_symmetry_equiv_pos_as_xyz
'x,y,z'
loop_
_atom_site_label
_atom_site_type_symbol
_atom_site_fract_x
_atom_site_fract_y
_atom_site_fract_z
Rb1 Rb 0.500 0.500 0.500
Mg1 Mg 0.000 0.000 0.500
Mg2 Mg 0.500 0.000 0.000
S1 S 0.000 0.500 0.000
La1 La 0.000 0.000 0.000
```

---

First-principles (PBE) data for a relaxed Pb2CI crystal, as listed in the Alexandria database.

## Properties
Raw total energy, eV/atom: -3.13
Space group: No. 225

Geometry as CIF:
```
data_Pb2CI
_chemical_formula_sum 'Pb2 C1 I1'
_cell_length_a 5.350
_cell_length_b 5.350
_cell_length_c 5.350
_cell_angle_alpha 60.00
_cell_angle_beta 60.00
_cell_angle_gamma 60.00
_symmetry_space_group_name_H-M 'P 1'
_symmetry_Int_Tables_number 1
loop_
_symmetry_equiv_pos_as_xyz
'x,y,z'
loop_
_atom_site_label
_atom_site_type_symbol
_atom_site_fract_x
_atom_site_fract_y
_atom_site_fract_z
Pb1 Pb 0.250 0.250 0.250
Pb2 Pb 0.750 0.750 0.750
C1 C 0.000 0.000 0.000
I1 I 0.500 0.500 0.500
```

---

First-principles (PBE) data for a relaxed LaDySnTe crystal, as listed in the Alexandria database.

## Properties
Raw total energy, eV/atom: -5.28
Space group: No. 160

Geometry as CIF:
```
data_LaDySnTe
_chemical_formula_sum 'La1 Dy1 Sn1 Te1'
_cell_length_a 4.514
_cell_length_b 4.514
_cell_length_c 7.818
_cell_angle_alpha 73.22
_cell_angle_beta 73.22
_cell_angle_gamma 60.00
_symmetry_space_group_name_H-M 'P 1'
_symmetry_Int_Tables_number 1
loop_
_symmetry_equiv_pos_as_xyz
'x,y,z'
loop_
_atom_site_label
_atom_site_type_symbol
_atom_site_fract_x
_atom_site_fract_y
_atom_site_fract_z
Dy1 Dy 0.198 0.198 0.407
La1 La 0.690 0.690 0.929
Te1 Te 0.449 0.449 0.654
Sn1 Sn 0.940 0.940 0.181
```

---

The evaluated volume for the records listed, in turn: 29.3; 13.5; 23.1; 30.8; 17.1; 47.1; 27.1; 32.5 A^3/atom.